Entry 1:
# Ca2CoSi | the Alexandria database | GGA-PBEsol | optimized geometry
# Formation energy from raw total energies in eV per atom: 0.067
data_Ca2CoSi
_chemical_formula_sum 'Ca2 Co1 Si1'
_cell_length_a 4.6553
_cell_length_b 4.6553
_cell_length_c 4.6553
_cell_angle_alpha 60.00
_cell_angle_beta 60.00
_cell_angle_gamma 60.00
_space_group_name_H-M_alt 'P 1'
_space_group_IT_number 1
loop_
_space_group_symop_operation_xyz
'x,y,z'
loop_
_atom_site_label
_atom_site_type_symbol
_atom_site_fract_x
_atom_site_fract_y
_atom_site_fract_z
Ca1 Ca 0.0000 0.0000 0.0000
Ca2 Ca 0.2500 0.2500 0.2500
Co1 Co 0.7500 0.7500 0.7500
Si1 Si 0.5000 0.5000 0.5000

=====

Entry 2:
# TiMoRu3 | the Alexandria database | GGA-PBEsol | optimized geometry
# E_form in eV per atom: 1.396
data_TiMoRu3
_chemical_formula_sum 'Ti1 Mo1 Ru3'
_cell_length_a 4.5202
_cell_length_b 4.5202
_cell_length_c 4.5202
_cell_angle_alpha 90.00
_cell_angle_beta 90.00
_cell_angle_gamma 90.00
_space_group_name_H-M_alt 'P 1'
_space_group_IT_number 1
loop_
_space_group_symop_operation_xyz
'x,y,z'
loop_
_atom_site_label
_atom_site_type_symbol
_atom_site_fract_x
_atom_site_fract_y
_atom_site_fract_z
Ti1 Ti 0.0000 0.0000 0.0000
Mo1 Mo 0.5000 0.5000 0.5000
Ru1 Ru 0.0000 0.5000 0.5000
Ru2 Ru 0.5000 0.0000 0.5000
Ru3 Ru 0.5000 0.5000 0.0000